VASP calculation (GGA-PBE) on a geometry-optimized AcMg3Cu structure.

The structure in POSCAR format:
```
AcMg3Cu
1.0
-4.897 3.183 2.139
-2.525 1.103 -7.423
0.942 -6.606 2.945
Ac Mg Cu
2 6 2
Cartesian
-1.702 -2.183 -2.376 Ac
-0.439 -2.735 1.335 Ac
-3.429 -0.903 0.803 Mg
-3.679 -3.894 0.166 Mg
-2.416 -4.446 3.877 Mg
-4.869 -0.282 -3.417 Mg
0.032 -6.038 2.808 Mg
-1.230 -5.486 -0.903 Mg
-4.951 -1.882 -1.216 Cu
-3.351 0.700 -1.396 Cu
```

## Properties
ΔE to the lowest computed polymorph   0 meV per atom
ΔH_f (0 K)   -0.051 eV per atom
Density of states at the Fermi level   7.47 states/eV/cell
Total magnetic moment   0.0000 μB per atom
DFT total energy   -13.243 eV per formula unit

VASP calculation (GGA-PBE) on a geometry-optimized Ac5Mg4Cu structure.

The structure in POSCAR format:
```
Ac5Mg4Cu
1.0
-3.480 0.910 1.832
-0.316 -3.811 1.293
10.214 4.907 16.966
Ac Mg Cu
5 4 1
Cartesian
-0.995 -1.017 3.062 Ac
1.105 -0.008 6.551 Ac
3.209 1.003 10.045 Ac
5.313 2.014 13.540 Ac
7.413 3.023 17.028 Ac
1.973 0.948 3.278 Mg
4.051 1.946 6.729 Mg
6.163 2.961 10.237 Mg
8.241 3.959 13.688 Mg
0.000 0.000 0.000 Cu
```

## Properties
ΔH_f (0 K)   -0.072 eV per atom
Density of states at the Fermi level   9.32 states/eV/cell
Total magnetic moment   0.0000 μB per atom
DFT total energy   -31.738 eV per formula unit

VASP calculation (GGA-PBE) on a geometry-optimized AcMg3Cu8 structure.

The structure in POSCAR format:
```
AcMg3Cu8
1.0
-4.131 1.623 2.538
-0.815 -1.538 4.807
2.788 6.770 5.357
Ac Mg Cu
1 3 8
Cartesian
-3.309 2.572 8.418 Ac
0.634 6.030 7.474 Mg
2.688 6.619 5.292 Mg
-0.861 3.759 6.494 Mg
-3.805 1.986 5.428 Cu
-0.601 3.976 9.326 Cu
-1.726 1.169 4.150 Cu
-2.688 4.796 10.608 Cu
0.325 3.027 3.742 Cu
-0.809 6.371 10.057 Cu
-2.136 0.395 6.570 Cu
-2.276 5.573 8.180 Cu
```

## Properties
ΔH_f (0 K)   -0.107 eV per atom
Density of states at the Fermi level   5.99 states/eV/cell
Total magnetic moment   0.0000 μB per atom
DFT total energy   -42.949 eV per formula unit

VASP calculation (GGA-PBE) on a geometry-optimized Ac2MgCu structure.

The structure in POSCAR format:
```
Ac2MgCu
1.0
-0.564 3.648 -4.233
-4.872 0.355 -2.771
-3.257 4.534 0.616
Ac Mg Cu
2 1 1
Cartesian
-2.173 2.134 -1.597 Ac
-6.520 6.402 -4.791 Ac
0.000 0.000 0.000 Mg
-4.347 4.268 -3.194 Cu
```

## Properties
ΔE to the lowest computed polymorph   64 meV per atom
ΔH_f (0 K)   -0.004 eV per atom
Density of states at the Fermi level   3.80 states/eV/cell
Total magnetic moment   0.0000 μB per atom
DFT total energy   -13.924 eV per formula unit